Material: PmSiAg
Method: DFT, PBE
State: optimized geometry

Calculated values
DOS at the Fermi energy (states/eV per cell): 3.7
Final energy (eV/atom): -4.886
Energy above the lowest structure with this stoichiometry (eV per formula unit): 0.04
Space-group type: Pnma, No. 62
Energy relative to the elements, uncorrected (eV per atom): -0.54

a = 7.304 Å, b = 4.323 Å, c = 8.148 Å
α = 90.00°, β = 90.00°, γ = 90.00°
Fractional coordinates of all 12 atoms:
Pm 0.018 0.250 0.189
Pm 0.482 0.750 0.689
Pm 0.518 0.250 0.311
Pm 0.982 0.750 0.811
Si 0.235 0.750 0.385
Si 0.265 0.250 0.885
Si 0.735 0.750 0.115
Si 0.765 0.250 0.615
Ag 0.154 0.250 0.563
Ag 0.346 0.750 0.063
Ag 0.654 0.250 0.937
Ag 0.846 0.750 0.437

Material: Pm6Si2Ag
Method: DFT, PBE
State: optimized geometry

Calculated values
DOS at the Fermi energy (states/eV per cell): 18.4
Final energy (eV/atom): -5.092
Space-group type: Immm, No. 71
Energy relative to the elements, uncorrected (eV per atom): -0.40

a = 8.701 Å, b = 8.701 Å, c = 8.701 Å
α = 110.56°, β = 110.51°, γ = 107.36°
Fractional coordinates of all 18 atoms:
Pm 0.050 0.249 0.801
Pm 0.175 0.269 0.444
Pm 0.175 0.731 0.906
Pm 0.325 0.028 0.703
Pm 0.325 0.622 0.297
Pm 0.449 0.249 0.199
Pm 0.551 0.751 0.801
Pm 0.675 0.378 0.703
Pm 0.675 0.972 0.297
Pm 0.825 0.269 0.094
Pm 0.825 0.731 0.556
Pm 0.950 0.751 0.199
Si 0.116 0.616 0.500
Si 0.362 0.000 0.362
Si 0.638 0.000 0.638
Si 0.884 0.384 0.500
Ag 0.000 0.000 0.000
Ag 0.500 0.500 0.000